(1)
VASP calculation (PBE) on Cd2HPdF after structural relaxation.

Calculated values
Its total magnetic moment is 0.00 μB per formula unit. As for the space group: P4/mmm. Its volume is 75 Å³ per cell. The total DFT energy (no corrections) comes out at -2.795 eV/atom.

Structure (POSCAR):
```
Cd2HPdF
1.0
5.166 0.000 0.000
0.000 5.166 0.000
0.000 0.000 2.815
Cd H Pd F
2 1 1 1
Cartesian
0.000 2.583 0.000
2.583 0.000 0.000
0.000 0.000 0.000
2.583 2.583 1.408
0.000 0.000 1.408
```

(2)
VASP calculation (PBE) on In2GaW after structural relaxation.

Calculated values
Its total magnetic moment is 0.00 μB per formula unit. The calculation puts the calculated formation energy at 3.37 eV per formula unit. As for the space group: I-42d. Its volume is 173 Å³ per cell.

Structure (POSCAR):
```
In2GaW
1.0
-3.950 3.950 2.775
3.950 -3.950 2.775
3.950 3.950 -2.775
In Ga W
4 2 2
Cartesian
1.975 1.871 -0.694
2.080 -1.975 3.468
1.975 2.080 2.081
1.871 5.926 0.694
3.950 0.000 1.387
0.000 0.000 2.775
0.000 0.000 0.000
0.000 3.950 1.387
```

(3)
VASP calculation (PBE) on Ti2HgBr6 after structural relaxation.

Calculated values
Its total magnetic moment is 2.00 μB per formula unit. As for the space group: P-31m. Its volume is 355 Å³ per cell. As for the energy relative to the elements, uncorrected: -1.044 eV/atom.

Structure (POSCAR):
```
Ti2HgBr6
1.0
6.482 0.000 0.000
-3.241 5.614 0.000
0.000 0.000 9.765
Ti Hg Br
2 1 6
Cartesian
0.000 3.743 0.000
3.241 1.871 0.000
0.000 0.000 4.882
-1.139 1.972 8.258
-2.102 3.641 1.507
2.277 0.000 8.258
1.139 1.972 1.507
4.205 0.000 1.507
2.102 3.641 8.258
```

(4)
VASP calculation (PBE) on Cu5SiAu6 after structural relaxation.

Calculated values
Its total magnetic moment is 0.00 μB per formula unit. As for the space group: C2/m. Its volume is 187 Å³ per cell. As for the energy relative to the elements, uncorrected: 0.053 eV/atom.

Structure (POSCAR):
```
Cu5SiAu6
1.0
2.534 -4.282 0.000
2.534 4.282 0.000
-1.515 0.000 8.599
Cu Si Au
5 1 6
Cartesian
0.000 0.000 0.000
1.776 2.744 4.300
2.534 1.380 0.000
2.534 -1.380 0.000
1.776 -2.744 4.300
1.776 0.000 4.300
0.860 1.426 2.113
0.143 0.000 6.378
0.860 -1.426 2.113
2.692 1.426 6.486
3.409 0.000 2.221
2.692 -1.426 6.486
```

Which value of volume does entry 4 give? 187 Å³ per cell